Computed, not measured: an optimized crystal structure of PmAl4Au8 at the GGA-PBE level of DFT.

Calculated values
As for the density: 12.840 Mg/m³. The total magnetic moment comes out at 0.01 μB/cell. Its energy is -52.160 eV for the cell shown.

Geometry as CIF:
```
data_PmAl4Au8
_cell_length_a 7.1001
_cell_length_b 7.1001
_cell_length_c 7.1001
_cell_angle_alpha 98.72
_cell_angle_beta 98.72
_cell_angle_gamma 134.17
_symmetry_space_group_name_H-M 'P 1'
_symmetry_Int_Tables_number 1
_symmetry_space_group_name_Hall 'P 1'
loop_
_atom_site_label
_atom_site_type_symbol
_atom_site_fract_x
_atom_site_fract_y
_atom_site_fract_z
_atom_site_occupancy
Au1 Au 0.3292 0.0000 0.3292 1
Au2 Au 0.7188 0.5000 0.2188 1
Au3 Au 0.5000 0.7188 0.2188 1
Au4 Au 0.2812 0.5000 0.7812 1
Pm1 Pm 0.0000 0.0000 0.0000 1
Al1 Al 0.5000 0.0000 0.0000 1
Al2 Al 0.0000 0.5000 0.0000 1
Au5 Au 0.0000 0.3292 0.3292 1
Au6 Au 0.6708 0.0000 0.6708 1
Al3 Al 0.5000 0.5000 0.5000 1
Au7 Au 0.0000 0.6708 0.6708 1
Al4 Al 0.0000 0.0000 0.5000 1
Au8 Au 0.5000 0.2812 0.7812 1
```